Record 1
# PBE-GGA BaCu2Sb2, relaxed
# SG: P2_1/m, No. 11
# Volume (A^3/atom): 24.16
# DOS at the Fermi energy (states/eV/atom): 0.385
# E_form (uncorrected) (eV per atom): -0.472
# Crystal system: monoclinic
data_BaCu2Sb2
_space_group_name_H-M_alt 'P 1'
_space_group_IT_number 1
_cell_length_a 4.733
_cell_length_b 4.734
_cell_length_c 10.783
_cell_angle_alpha 90.09
_cell_angle_beta 90.00
_cell_angle_gamma 90.00
loop_
_space_group_symop_operation_xyz
'x,y,z'
loop_
_atom_site_label
_atom_site_type_symbol
_atom_site_fract_x
_atom_site_fract_y
_atom_site_fract_z
Sb1 Sb 0.750 0.250 0.500
Sb2 Sb 0.250 0.750 0.500
Sb3 Sb 0.250 0.246 0.125
Sb4 Sb 0.750 0.754 0.875
Ba1 Ba 0.250 0.251 0.760
Ba2 Ba 0.750 0.749 0.240
Cu1 Cu 0.750 0.257 0.000
Cu2 Cu 0.750 0.750 0.627
Cu3 Cu 0.250 0.250 0.373
Cu4 Cu 0.250 0.743 0.000

=====

Record 2
# PBE-GGA CuIBr4, relaxed
# SG: C222_1, No. 20
# Volume (A^3/atom): 44.76
# DOS at the Fermi energy (states/eV/atom): 0.040
# Energy relative to the lowest polymorph listed for this composition (meV/atom): 0
# E_form (uncorrected) (eV per atom): -0.125
# Crystal system: orthorhombic
data_CuIBr4
_space_group_name_H-M_alt 'P 1'
_space_group_IT_number 1
_cell_length_a 7.180
_cell_length_b 7.180
_cell_length_c 12.436
_cell_angle_alpha 90.00
_cell_angle_beta 90.00
_cell_angle_gamma 56.92
loop_
_space_group_symop_operation_xyz
'x,y,z'
loop_
_atom_site_label
_atom_site_type_symbol
_atom_site_fract_x
_atom_site_fract_y
_atom_site_fract_z
Cu1 Cu 0.750 0.750 0.000
Cu2 Cu 0.250 0.250 0.500
I1 I 0.750 0.250 0.750
I2 I 0.250 0.750 0.250
Br1 Br 0.416 0.897 0.408
Br2 Br 0.584 0.103 0.908
Br3 Br 0.897 0.416 0.592
Br4 Br 0.603 0.086 0.591
Br5 Br 0.103 0.584 0.092
Br6 Br 0.914 0.397 0.909
Br7 Br 0.086 0.603 0.409
Br8 Br 0.397 0.914 0.091

=====

Record 3
# PBE-GGA PmNdDy2, relaxed
# SG: Fm-3m, No. 225
# Volume (A^3/atom): 33.31
# DOS at the Fermi energy (states/eV/atom): 2.053
# Energy relative to the lowest polymorph listed for this composition (meV/atom): 110
# Calculated formation energy (eV/atom): 0.122
# Crystal system: cubic
data_PmNdDy2
_space_group_name_H-M_alt 'P 1'
_space_group_IT_number 1
_cell_length_a 5.733
_cell_length_b 5.733
_cell_length_c 5.733
_cell_angle_alpha 60.00
_cell_angle_beta 60.00
_cell_angle_gamma 60.00
loop_
_space_group_symop_operation_xyz
'x,y,z'
loop_
_atom_site_label
_atom_site_type_symbol
_atom_site_fract_x
_atom_site_fract_y
_atom_site_fract_z
Pm1 Pm 0.000 0.000 0.000
Nd1 Nd 0.500 0.500 0.500
Dy1 Dy 0.250 0.250 0.250
Dy2 Dy 0.750 0.750 0.750

=====

Record 4
# PBE-GGA BaLi2TcCl8, relaxed
# SG: P-1, No. 2
# Volume (A^3/atom): 27.51
# E_form (uncorrected) (eV per atom): -1.494
# Crystal system: triclinic
data_BaLi2TcCl8
_space_group_name_H-M_alt 'P 1'
_space_group_IT_number 1
_cell_length_a 6.124
_cell_length_b 6.736
_cell_length_c 8.644
_cell_angle_alpha 68.48
_cell_angle_beta 86.70
_cell_angle_gamma 92.91
loop_
_space_group_symop_operation_xyz
'x,y,z'
loop_
_atom_site_label
_atom_site_type_symbol
_atom_site_fract_x
_atom_site_fract_y
_atom_site_fract_z
Ba1 Ba 0.000 0.000 0.500
Li1 Li 0.506 0.352 0.691
Li2 Li 0.494 0.648 0.309
Tc1 Tc 0.000 0.000 0.000
Cl1 Cl 0.109 0.749 0.260
Cl2 Cl 0.677 0.777 0.035
Cl3 Cl 0.828 0.193 0.145
Cl4 Cl 0.891 0.251 0.740
Cl5 Cl 0.323 0.223 0.965
Cl6 Cl 0.172 0.807 0.855
Cl7 Cl 0.558 0.726 0.549
Cl8 Cl 0.442 0.274 0.451